(P)
This record from Alexandria via LeMat-Bulk describes a relaxed structure of Ce6Ga2Ge. The functional is PBE.

Lattice parameters (Å, degrees): 8.237 9.931 10.952 90.00 90.00 90.00
Space group Immm (No. 71)
One atom of each set of equivalent atoms:
Ce (0.000, 0.224, 0.172) [8 per cell]
Ce (0.168, 0.500, 0.257) [8 per cell]
Ce (0.231, 0.216, 0.500) [8 per cell]
Ga (0.000, 0.000, 0.377) [4 per cell]
Ga (0.153, 0.000, 0.000) [4 per cell]
Ge (0.000, 0.500, 0.000) [2 per cell]
Ge (0.000, 0.500, 0.500) [2 per cell]

Summary:
D(E_F) (states/eV/f.u.): 22.082
Spin magnetization (μB per cell): 10.8

(Q)
This record from Alexandria via LeMat-Bulk describes a relaxed structure of Ce6Ga2Ge. The functional is PBE.

Lattice parameters (Å, degrees): 8.7860 8.7860 2.9804 90.00 90.00 120.00
Space group P6/mmm (No. 191)
One atom of each set of equivalent atoms:
Ce (0.0000, 0.3334, 0.0000) [6 per cell]
Ga (0.3333, 0.6667, 0.5000) [2 per cell]
Ge (0.0000, 0.0000, 0.5000) [1 per cell]

Summary:
D(E_F) (states/eV/f.u.): 22.308
Spin magnetization (μB per cell): 1.6

Computed energies relative to the best structure, in kJ/mol of atoms: (P) 0.0; (Q) 2.7

(P)
This record from Alexandria via LeMat-Bulk describes a relaxed structure of Ce2GaGe2. The functional is PBE.

Lattice parameters (Å, degrees): 7.206 7.206 4.411 90.00 90.00 90.00
Space group P4/mbm (No. 127)
One atom of each set of equivalent atoms:
Ce (0.179, 0.321, 0.000) [4 per cell]
Ga (0.000, 0.000, 0.500) [2 per cell]
Ge (0.125, 0.625, 0.500) [4 per cell]

Summary:
D(E_F) (states/eV/f.u.): 9.573
Spin magnetization (μB per cell): 2.3

(Q)
This record from Alexandria via LeMat-Bulk describes a relaxed structure of Ce2GaGe2. The functional is PBE.

Lattice parameters (Å, degrees): 11.035 4.214 10.769 90.00 111.97 90.00
Space group C2/m (No. 12)
One atom of each set of equivalent atoms:
Ce (0.077, 0.000, 0.414) [4 per cell]
Ce (0.193, 0.500, 0.145) [4 per cell]
Ga (0.058, 0.500, 0.798) [4 per cell]
Ge (0.062, 0.000, 0.924) [4 per cell]
Ge (0.171, 0.500, 0.636) [4 per cell]

Summary:
D(E_F) (states/eV/f.u.): 9.554
Spin magnetization (μB per cell): 6.0

Computed energies relative to the best structure, in kJ/mol of atoms: (P) 0.6; (Q) 0.0

(P)
This record from Alexandria via LeMat-Bulk describes a relaxed structure of CeGaGe2. The functional is PBE.

Lattice parameters (Å, degrees): 4.390 4.390 4.213 90.00 90.00 90.00
Space group P4/mmm (No. 123)
One atom of each set of equivalent atoms:
Ce (0.000, 0.000, 0.000) [1 per cell]
Ga (0.500, 0.500, 0.000) [1 per cell]
Ge (0.000, 0.500, 0.500) [2 per cell]

Summary:
D(E_F) (states/eV/f.u.): 3.884
Spin magnetization (μB per cell): 0.0

(Q)
This record from Alexandria via LeMat-Bulk describes a relaxed structure of CeGaGe2. The functional is PBE.

Lattice parameters (Å, degrees): 4.4982 4.4982 14.6741 90.00 90.00 120.00
Space group R-3m (No. 166, hexagonal axes)
One atom of each set of equivalent atoms:
Ce (0.0000, 0.0000, 0.0000) [3 per cell]
Ga (0.0000, 0.0000, 0.5000) [3 per cell]
Ge (0.0000, 0.0000, 0.2178) [6 per cell]

Summary:
D(E_F) (states/eV/f.u.): 4.660
Spin magnetization (μB per cell): 2.3

Computed energies relative to the best structure, in kJ/mol of atoms: (P) 0.0; (Q) 18.8

(P)
This record from Alexandria via LeMat-Bulk describes a relaxed structure of Ce3Ga3Ge2. The functional is PBE.

Lattice parameters (Å, degrees): 4.168 11.258 15.793 90.00 90.00 90.00
Space group Cmcm (No. 63)
One atom of each set of equivalent atoms:
Ce (0.000, 0.069, 0.250) [4 per cell]
Ce (0.000, 0.356, 0.092) [8 per cell]
Ga (0.000, 0.072, 0.056) [8 per cell]
Ga (0.000, 0.194, 0.750) [4 per cell]
Ge (0.000, 0.348, 0.622) [8 per cell]

Summary:
D(E_F) (states/eV/f.u.): 17.583
Spin magnetization (μB per cell): 9.7

(Q)
This record from Alexandria via LeMat-Bulk describes a relaxed structure of Ce3Ga3Ge2. The functional is PBE.

Lattice parameters (Å, degrees): 16.243 4.134 5.510 90.00 95.27 90.00
Space group C2/m (No. 12)
One atom of each set of equivalent atoms:
Ce (0.000, 0.000, 0.000) [2 per cell]
Ce (0.151, 0.000, 0.632) [4 per cell]
Ga (0.000, 0.500, 0.500) [2 per cell]
Ga (0.129, 0.500, 0.174) [4 per cell]
Ge (0.222, 0.000, 0.160) [4 per cell]

Summary:
D(E_F) (states/eV/f.u.): 15.434
Spin magnetization (μB per cell): 5.1

Computed energies relative to the best structure, in kJ/mol of atoms: (P) 0.0; (Q) 15.0

(P)
This record from Alexandria via LeMat-Bulk describes a relaxed structure of Ce8Ga2Ge. The functional is PBE.

Lattice parameters (Å, degrees): 8.336 13.606 5.433 90.00 110.13 90.00
Space group C2/m (No. 12)
One atom of each set of equivalent atoms:
Ce (0.000, 0.227, 0.000) [4 per cell]
Ce (0.102, 0.500, 0.842) [4 per cell]
Ce (0.178, 0.103, 0.575) [8 per cell]
Ga (0.000, 0.312, 0.500) [4 per cell]
Ge (0.000, 0.000, 0.000) [2 per cell]

Summary:
D(E_F) (states/eV/f.u.): 31.925
Spin magnetization (μB per cell): 9.1

(Q)
This record from Alexandria via LeMat-Bulk describes a relaxed structure of Ce8Ga2Ge. The functional is PBE.

Lattice parameters (Å, degrees): 15.046 6.363 6.062 90.00 108.13 90.00
Space group C2/m (No. 12)
One atom of each set of equivalent atoms:
Ce (0.035, 0.000, 0.314) [4 per cell]
Ce (0.098, 0.500, 0.037) [4 per cell]
Ce (0.181, 0.241, 0.607) [8 per cell]
Ga (0.170, 0.000, 0.039) [4 per cell]
Ge (0.000, 0.500, 0.500) [2 per cell]

Summary:
D(E_F) (states/eV/f.u.): 27.027
Spin magnetization (μB per cell): 5.0

Computed energies relative to the best structure, in kJ/mol of atoms: (P) 2.0; (Q) 0.0

(P)
This record from Alexandria via LeMat-Bulk describes a relaxed structure of CePmGaGe. The functional is PBE.

Lattice parameters (Å, degrees): 4.085 4.419 11.180 90.00 90.00 90.00
Space group Amm2 (No. 38)
One atom of each set of equivalent atoms:
Ce (0.000, 0.000, 0.000) [2 per cell]
Pm (0.500, 0.000, 0.716) [2 per cell]
Ga (0.000, 0.000, 0.283) [2 per cell]
Ge (0.500, 0.000, 0.434) [2 per cell]

Summary:
D(E_F) (states/eV/f.u.): 6.298
Spin magnetization (μB per cell): 2.8

(Q)
This record from Alexandria via LeMat-Bulk describes a relaxed structure of CePmGaGe. The functional is PBE.

Lattice parameters (Å, degrees): 7.314 7.314 7.314 90.00 90.00 90.00
Space group F-43m (No. 216)
One atom of each set of equivalent atoms:
Ce (0.000, 0.000, 0.000) [4 per cell]
Pm (0.000, 0.000, 0.500) [4 per cell]
Ga (0.250, 0.250, 0.250) [4 per cell]
Ge (0.250, 0.250, 0.750) [4 per cell]

Summary:
D(E_F) (states/eV/f.u.): 7.228
Spin magnetization (μB per cell): 4.6

Computed energies relative to the best structure, in kJ/mol of atoms: (P) 0.0; (Q) 14.0